(i)
The following is a DFT calculation (PBE) of a relaxed structure of CaPr.

Summary:
- DOS(E_F): 3.00 states/eV per cell
- Total magnetic moment: 0.0 μB per cell
- Space-group type: Pm-3m (221)

Cell: 4.2446 4.2446 4.2446 Å, 90.00 90.00 90.00°
Fractional positions:
Pr 0.0000 0.0000 0.0000
Ca 0.5000 0.5000 0.5000

(ii)
The following is a DFT calculation (PBE) of a relaxed structure of CaPr.

Summary:
- DOS(E_F): 5.43 states/eV per cell
- Total magnetic moment: 0.0 μB per cell
- Space-group type: P-3m1 (164)

Cell: 3.7951 3.7951 12.5429 Å, 90.00 90.00 120.00°
Fractional positions:
Ca 0.3333 0.6667 0.3695
Ca 0.6667 0.3333 0.6305
Pr 0.6667 0.3333 0.1140
Pr 0.3333 0.6667 0.8860

(iii)
The following is a DFT calculation (PBE) of a relaxed structure of CaPr.

Summary:
- DOS(E_F): 6.82 states/eV per cell
- Total magnetic moment: 0.0 μB per cell
- Space-group type: P2_1/m (11)

Cell: 5.4010 3.7281 8.4988 Å, 63.92 90.00 90.00°
Fractional positions:
Ca 0.7500 0.1189 0.1310
Ca 0.2500 0.8811 0.8690
Pr 0.7500 0.6411 0.6089
Pr 0.2500 0.3589 0.3911

Quick look at relative energies in kJ/mol of atoms: (i) 6.6; (ii) 0.0; (iii) 2.9.

(i)
The following is a DFT calculation (PBE) of a relaxed structure of CaPr5.

Summary:
- DOS(E_F): 8.49 states/eV per cell
- Total magnetic moment: 0.0 μB per cell
- Space-group type: P4/mmm (123)

Cell: 3.7320 3.7320 15.9821 Å, 90.00 90.00 90.00°
Fractional positions:
Pr 0.0000 0.0000 0.5000
Pr 0.5000 0.5000 0.6660
Pr 0.0000 0.0000 0.1763
Pr 0.0000 0.0000 0.8237
Pr 0.5000 0.5000 0.3340
Ca 0.5000 0.5000 0.0000

(ii)
The following is a DFT calculation (PBE) of a relaxed structure of CaPr5.

Summary:
- DOS(E_F): 10.00 states/eV per cell
- Total magnetic moment: 0.0 μB per cell
- Space-group type: Cmmm (65)

Cell: 3.9588 6.0545 9.7358 Å, 108.12 90.00 90.00°
Fractional positions:
Pr 0.5000 0.5000 0.0000
Pr 0.0000 0.6758 0.3515
Pr 0.5000 0.1574 0.3148
Pr 0.0000 0.3242 0.6485
Pr 0.5000 0.8426 0.6852
Ca 0.0000 0.0000 0.0000

(iii)
The following is a DFT calculation (PBE) of a relaxed structure of CaPr5.

Summary:
- DOS(E_F): 9.52 states/eV per cell
- Total magnetic moment: 0.0 μB per cell
- Space-group type: Cmmm (65)

Cell: 5.3123 5.2941 8.3015 Å, 108.59 90.00 90.00°
Fractional positions:
Ca 0.0000 0.0000 0.0000
Pr 0.0000 0.3300 0.6600
Pr 0.5000 0.8293 0.6586
Pr 0.5000 0.1707 0.3414
Pr 0.0000 0.6700 0.3400
Pr 0.5000 0.5000 0.0000

Quick look at relative energies in kJ/mol of atoms: (i) 0.0; (ii) 7.7; (iii) 1.6.

(i)
The following is a DFT calculation (PBE) of a relaxed structure of Ca4Pr.

Summary:
- DOS(E_F): 8.15 states/eV per cell
- Total magnetic moment: 0.0 μB per cell
- Space-group type: R-3m (166)

Cell: 3.8185 3.8185 16.1033 Å, 83.19 83.19 60.00°
Fractional positions:
Ca 0.7997 0.7997 0.6010
Ca 0.2003 0.2003 0.3990
Ca 0.3986 0.3986 0.8041
Ca 0.6014 0.6014 0.1959
Pr 0.0000 0.0000 0.0000

(ii)
The following is a DFT calculation (PBE) of a relaxed structure of Ca4Pr.

Summary:
- DOS(E_F): 6.92 states/eV per cell
- Total magnetic moment: 0.0 μB per cell
- Space-group type: C2/m (12)

Cell: 7.1007 7.1007 7.1089 Å, 129.13 129.13 50.87°
Fractional positions:
Ca 0.3991 0.3991 0.6010
Ca 0.6009 0.6009 0.3990
Ca 0.7977 0.7977 0.2020
Ca 0.2023 0.2023 0.7980
Pr 0.0000 0.0000 0.0000

Quick look at relative energies in kJ/mol of atoms: (i) 0.0; (ii) 2.9.

(i)
The following is a DFT calculation (PBE) of a relaxed structure of Ca3Pr.

Summary:
- DOS(E_F): 7.25 states/eV per cell
- Total magnetic moment: 0.8 μB per cell
- Space-group type: Pm-3m (221)

Cell: 5.4421 5.4421 5.4421 Å, 90.00 90.00 90.00°
Each line ends with the local moment (μB).
Fractional positions:
Ca 0.0000 0.5000 0.5000  0.03
Ca 0.5000 0.5000 0.0000  0.03
Ca 0.5000 0.0000 0.5000  0.03
Pr 0.0000 0.0000 0.0000  0.20

(ii)
The following is a DFT calculation (PBE) of a relaxed structure of Ca3Pr.

Summary:
- DOS(E_F): 6.40 states/eV per cell
- Total magnetic moment: 0.0 μB per cell
- Space-group type: I4/mmm (139)

Cell: 6.0742 6.0742 6.0683 Å, 120.03 120.03 90.00°
Fractional positions:
Ca 0.7500 0.2500 0.5000
Ca 0.2500 0.7500 0.5000
Ca 0.5000 0.5000 0.0000
Pr 0.0000 0.0000 0.0000

Quick look at relative energies in kJ/mol of atoms: (i) 2.2; (ii) 0.0.

(i)
The following is a DFT calculation (PBE) of a relaxed structure of CaPr3Pt.

Summary:
- DOS(E_F): 21.61 states/eV per cell
- Total magnetic moment: 0.0 μB per cell
- Space-group type: P2_1/c (14)

Cell: 7.4933 8.4238 10.7512 Å, 107.26 90.00 90.00°
Fractional positions:
Pr 0.8682 0.9111 0.6084
Pr 0.7905 0.4325 0.4757
Pr 0.2095 0.5675 0.5243
Pr 0.1318 0.0889 0.3916
Pr 0.3682 0.0889 0.8916
Pr 0.4910 0.7781 0.3730
Pr 0.7095 0.4325 0.9757
Pr 0.2905 0.5675 0.0243
Pr 0.0090 0.7781 0.8730
Pr 0.6318 0.9111 0.1084
Pr 0.5090 0.2219 0.6270
Pr 0.9910 0.2219 0.1270
Pt 0.2650 0.9394 0.6047
Pt 0.7350 0.0606 0.3953
Pt 0.2350 0.9394 0.1047
Pt 0.7650 0.0606 0.8953
Ca 0.9610 0.6936 0.2607
Ca 0.5390 0.6936 0.7607
Ca 0.0390 0.3064 0.7393
Ca 0.4610 0.3064 0.2393

(ii)
The following is a DFT calculation (PBE) of a relaxed structure of CaPr3Pt.

Summary:
- DOS(E_F): 10.24 states/eV per cell
- Total magnetic moment: 0.6 μB per cell
- Space-group type: Pm-3m (221)

Cell: 5.7589 5.7589 5.7589 Å, 90.00 90.00 90.00°
Each line ends with the local moment (μB).
Fractional positions:
Pr 0.0000 0.0000 0.5000  0.07
Pr 0.5000 0.0000 0.0000  0.07
Pr 0.0000 0.5000 0.0000  0.07
Pt 0.0000 0.0000 0.0000  0.01
Ca 0.5000 0.5000 0.5000  0.02

Quick look at relative energies in kJ/mol of atoms: (i) 0.0; (ii) 8.6.

(i)
The following is a DFT calculation (PBE) of a relaxed structure of CaPrPt.

Summary:
- DOS(E_F): 5.88 states/eV per cell
- Total magnetic moment: 0.0 μB per cell
- Space-group type: P2_1/m (11)

Cell: 4.8504 5.7792 6.7117 Å, 106.45 90.00 90.00°
Fractional positions:
Pt 0.7521 0.1238 0.4216
Pt 0.2524 0.8839 0.5816
Ca 0.7522 0.5809 0.3106
Ca 0.2523 0.4268 0.6926
Pr 0.2521 0.0085 0.1797
Pr 0.7524 0.9992 0.8236

(ii)
The following is a DFT calculation (PBE) of a relaxed structure of CaPrPt.

Summary:
- DOS(E_F): 3.50 states/eV per cell
- Total magnetic moment: 0.0 μB per cell
- Space-group type: F-43m (216)

Cell: 5.0000 5.0000 5.0000 Å, 60.00 60.00 60.00°
Fractional positions:
Ca 0.0000 0.0000 0.0000
Pr 0.5000 0.5000 0.5000
Pt 0.2500 0.2500 0.2500

Quick look at relative energies in kJ/mol of atoms: (i) 6.1; (ii) 0.0.